Entry i
This record from the Alexandria database describes a relaxed structure of Li2HSe. The functional is PBE-GGA.

Structure (extended XYZ):
```
16
Lattice="5.6390 0.0000 0.0000 0.0000 5.6390 0.0000 0.0000 0.0000 7.0832" Properties=species:S:1:pos:R:3 pbc="T T T"
Li 0.7495 4.2293 0.8854
Li 1.4098 0.7495 6.1978
Li 1.4098 2.0700 2.6562
Li 2.0700 4.2293 4.4270
Li 3.5690 1.4098 4.4270
Li 4.2293 3.5690 2.6562
Li 4.2293 4.8895 6.1978
Li 4.8895 1.4098 0.8854
H 0.0000 0.0000 0.0000
H 0.0000 2.8195 1.7708
H 2.8195 0.0000 5.3124
H 2.8195 2.8195 3.5416
Se 0.0000 0.0000 3.5416
Se 0.0000 2.8195 5.3124
Se 2.8195 0.0000 1.7708
Se 2.8195 2.8195 0.0000
```

density of states at the Fermi level: 1.88 states/eV/f.u.
M_tot: 0.0000 μB per atom

Entry ii
This record from the Alexandria database describes a relaxed structure of Li2HSe. The functional is PBE-GGA.

Structure (extended XYZ):
```
16
Lattice="6.0345 0.0000 0.0000 0.0000 6.0345 0.0000 0.0000 0.0000 6.0345" Properties=species:S:1:pos:R:3 pbc="T T T"
Li 1.5086 1.5086 1.5086
Li 1.5086 1.5086 4.5259
Li 1.5086 4.5259 1.5086
Li 1.5086 4.5259 4.5259
Li 4.5259 1.5086 1.5086
Li 4.5259 1.5086 4.5259
Li 4.5259 4.5259 1.5086
Li 4.5259 4.5259 4.5259
H 0.0000 0.0000 0.0000
H 0.0000 3.0172 3.0172
H 3.0172 0.0000 3.0172
H 3.0172 3.0172 0.0000
Se 0.0000 0.0000 3.0172
Se 0.0000 3.0172 0.0000
Se 3.0172 0.0000 0.0000
Se 3.0172 3.0172 3.0172
```

density of states at the Fermi level: 0.91 states/eV/f.u.
M_tot: 0.2074 μB per atom

Entry iii
This record from the Alexandria database describes a relaxed structure of Li2HSe. The functional is PBE-GGA.

Structure (extended XYZ):
```
16
Lattice="6.4053 0.0000 0.0000 0.0000 5.4911 0.0000 0.0000 0.0000 6.4027" Properties=species:S:1:pos:R:3 pbc="T T T"
Li 0.9522 5.4911 0.9495
Li 0.9522 2.7456 0.9495
Li 2.2504 0.0000 4.1508
Li 2.2504 2.7456 4.1508
Li 4.1549 5.4911 2.2519
Li 4.1549 2.7456 2.2519
Li 5.4530 0.0000 5.4532
Li 5.4530 2.7456 5.4532
H 6.4030 1.3728 0.0023
H 0.0022 4.1183 6.4003
H 3.2004 1.3728 3.1990
H 3.2048 4.1183 3.2037
Se 6.4045 1.3728 3.2020
Se 0.0007 4.1183 3.2007
Se 3.2019 1.3728 6.4020
Se 3.2033 4.1183 0.0007
```

density of states at the Fermi level: 0.78 states/eV/f.u.
M_tot: 0.0000 μB per atom

What should be chosen as the most stable of them? Choose entry iii.

Entry i
This record from the Alexandria database describes a relaxed structure of LiSiH4. The functional is PBE-GGA.

Structure (extended XYZ):
```
12
Lattice="-3.1485 3.1485 2.6756 3.1485 -3.1485 2.6756 3.1485 3.1485 -2.6756" Properties=species:S:1:pos:R:3 pbc="T T T"
Li 0.0000 0.0000 0.0000
Li 0.0000 3.1485 1.3378
Si 3.1485 0.0000 1.3658
Si 0.0000 0.0000 2.7036
H 2.0155 0.0000 0.2617
H 4.2815 0.0000 0.2617
H 3.1485 2.0155 -1.0761
H 0.0000 1.1330 1.5995
H 1.4861 3.1485 0.0083
H 1.6624 0.0000 2.6839
H 3.1485 1.6624 1.3461
H 0.0000 1.4861 4.0217
```

density of states at the Fermi level: 0.17 states/eV/f.u.
M_tot: 0.0000 μB per atom

Entry ii
This record from the Alexandria database describes a relaxed structure of LiSiH4. The functional is PBE-GGA.

Structure (extended XYZ):
```
12
Lattice="4.6062 0.0000 0.0000 0.0140 5.4909 0.0000 2.0878 2.4415 4.6716" Properties=species:S:1:pos:R:3 pbc="T T T"
Li 1.1144 1.9152 0.0102
Li 5.5934 6.0172 4.6614
Si 1.8571 4.6943 1.8265
Si 4.8508 3.2382 2.8451
H 1.1338 5.8873 1.2465
H 2.1843 5.3717 3.2803
H 1.7032 3.7869 0.4409
H 3.3580 3.0576 3.1912
H 3.3499 4.8748 1.4804
H 5.0047 4.1455 4.2307
H 4.5236 2.5608 1.3913
H 5.5741 2.0451 3.4251
```

M_tot: 0.0000 μB per atom

What should be chosen as the most stable of them? Choose entry ii.

Entry i
This record from the Alexandria database describes a relaxed structure of Li2SiH6. The functional is PBE-GGA.

Structure (extended XYZ):
```
18
Lattice="4.4025 0.0000 0.0000 0.0000 4.5558 0.0000 0.0000 0.0000 7.5308" Properties=species:S:1:pos:R:3 pbc="T T T"
Li 0.0000 0.0000 1.4765
Li 0.0000 0.0000 6.0542
Li 2.2013 2.2779 2.2888
Li 2.2013 2.2779 5.2419
Si 0.0000 2.2779 0.0000
Si 2.2013 0.0000 3.7654
H 0.8900 0.9441 0.0000
H 0.9221 2.9352 1.1278
H 0.9221 2.9352 6.4029
H 1.2791 0.6572 2.6375
H 1.2791 0.6572 4.8932
H 1.3113 3.2220 3.7654
H 3.0913 1.3338 3.7654
H 3.1234 3.8986 2.6375
H 3.1234 3.8986 4.8932
H 3.4804 1.6207 1.1278
H 3.4804 1.6207 6.4029
H 3.5125 3.6117 0.0000
```

density of states at the Fermi level: 0.00 states/eV/f.u.
M_tot: 0.0000 μB per atom

Entry ii
This record from the Alexandria database describes a relaxed structure of Li2SiH6. The functional is PBE-GGA.

Structure (extended XYZ):
```
9
Lattice="0.0000 3.2362 3.2362 3.2362 0.0000 3.2362 3.2362 3.2362 0.0000" Properties=species:S:1:pos:R:3 pbc="T T T"
Li 1.6181 1.6181 1.6181
Li 4.8543 4.8543 4.8543
Si 0.0000 0.0000 0.0000
H 3.2362 3.2362 1.5992
H 3.2362 1.5992 3.2362
H 4.8732 3.2362 3.2362
H 1.5992 3.2362 3.2362
H 3.2362 4.8732 3.2362
H 3.2362 3.2362 4.8732
```

M_tot: 0.0000 μB per atom

What should be chosen as the most stable of them? Choose entry i.

Entry i
This record from the Alexandria database describes a relaxed structure of LiSiH3. The functional is PBE-GGA.

Structure (extended XYZ):
```
5
Lattice="3.3419 0.0000 0.0000 0.0000 3.3419 0.0000 0.0000 0.0000 3.3419" Properties=species:S:1:pos:R:3 pbc="T T T"
Li 0.0000 0.0000 0.0000
Si 1.6710 1.6710 1.6710
H 0.0000 0.0000 1.6710
H 0.0000 1.6710 0.0000
H 1.6710 0.0000 0.0000
```

density of states at the Fermi level: 0.60 states/eV/f.u.
M_tot: 0.0000 μB per atom

Entry ii
This record from the Alexandria database describes a relaxed structure of LiSiH3. The functional is PBE-GGA.

Structure (extended XYZ):
```
5
Lattice="3.6730 0.0000 0.0000 0.0000 3.6730 0.0000 0.0000 0.0000 3.6730" Properties=species:S:1:pos:R:3 pbc="T T T"
Li 0.0000 0.0000 0.0000
Si 1.8365 1.8365 1.8365
H 0.0000 1.8365 1.8365
H 1.8365 0.0000 1.8365
H 1.8365 1.8365 0.0000
```

density of states at the Fermi level: 0.75 states/eV/f.u.
M_tot: 0.0000 μB per atom

What should be chosen as the most stable of them? Choose entry ii.

Entry i
This record from the Alexandria database describes a relaxed structure of LiSmH. The functional is PBE-GGA.

Structure (extended XYZ):
```
6
Lattice="3.5767 0.0000 0.0000 0.0000 3.5767 0.0000 0.0000 0.0000 8.1250" Properties=species:S:1:pos:R:3 pbc="T T T"
Li 0.8942 0.8942 0.6846
Li 2.6825 2.6825 7.4404
Sm 0.8942 0.8942 5.2684
Sm 2.6825 2.6825 2.8566
H 0.8942 0.8942 2.8195
H 2.6825 2.6825 5.3055
```

density of states at the Fermi level: 1.31 states/eV/f.u.
M_tot: 0.0000 μB per atom

Entry ii
This record from the Alexandria database describes a relaxed structure of LiSmH. The functional is PBE-GGA.

Structure (extended XYZ):
```
3
Lattice="3.3809 0.0000 0.0000 -1.6904 2.9279 0.0000 0.0000 0.0000 5.7944" Properties=species:S:1:pos:R:3 pbc="T T T"
Li 0.0000 0.0000 0.0000
Sm 0.0000 1.9520 2.7654
H 1.6904 0.9760 1.4283
```

density of states at the Fermi level: 2.51 states/eV/f.u.
M_tot: 0.0001 μB per atom

What should be chosen as the most stable of them? Choose entry i.

Entry i
This record from the Alexandria database describes a relaxed structure of LiSn3H. The functional is PBE-GGA.

Structure (extended XYZ):
```
5
Lattice="4.9297 0.0000 0.0000 0.0000 4.9297 0.0000 0.0000 0.0000 4.9297" Properties=species:S:1:pos:R:3 pbc="T T T"
Li 0.0000 0.0000 0.0000
Sn 0.0000 0.0000 2.4649
Sn 0.0000 2.4649 0.0000
Sn 2.4649 0.0000 0.0000
H 2.4649 2.4649 2.4649
```

density of states at the Fermi level: 2.46 states/eV/f.u.
M_tot: 0.0002 μB per atom

Entry ii
This record from the Alexandria database describes a relaxed structure of LiSn3H. The functional is PBE-GGA.

Structure (extended XYZ):
```
5
Lattice="4.7140 0.0000 0.0000 0.0000 4.7140 0.0000 0.0000 0.0000 4.7140" Properties=species:S:1:pos:R:3 pbc="T T T"
Li 0.0000 0.0000 0.0000
Sn 0.0000 2.3570 2.3570
Sn 2.3570 0.0000 2.3570
Sn 2.3570 2.3570 0.0000
H 2.3570 2.3570 2.3570
```

density of states at the Fermi level: 1.86 states/eV/f.u.
M_tot: 0.0000 μB per atom

What should be chosen as the most stable of them? Choose entry ii.

Entry i
This record from the Alexandria database describes a relaxed structure of LiSnH3. The functional is PBE-GGA.

Structure (extended XYZ):
```
5
Lattice="3.6815 0.0000 0.0000 0.0000 3.6815 0.0000 0.0000 0.0000 3.6815" Properties=species:S:1:pos:R:3 pbc="T T T"
Li 0.0000 0.0000 0.0000
Sn 1.8407 1.8407 1.8407
H 0.0000 0.0000 1.8407
H 0.0000 1.8407 0.0000
H 1.8407 0.0000 0.0000
```

density of states at the Fermi level: 0.52 states/eV/f.u.
M_tot: 0.0000 μB per atom

Entry ii
This record from the Alexandria database describes a relaxed structure of LiSnH3. The functional is PBE-GGA.

Structure (extended XYZ):
```
5
Lattice="4.2041 0.0000 0.0000 0.0000 4.2041 0.0000 0.0000 0.0000 4.2041" Properties=species:S:1:pos:R:3 pbc="T T T"
Li 0.0000 0.0000 0.0000
Sn 2.1021 2.1021 2.1021
H 0.0000 2.1021 2.1021
H 2.1021 0.0000 2.1021
H 2.1021 2.1021 0.0000
```

density of states at the Fermi level: 0.47 states/eV/f.u.
M_tot: 0.0000 μB per atom

What should be chosen as the most stable of them? Choose entry i.

Entry i
This record from the Alexandria database describes a relaxed structure of LiSn2H. The functional is PBE-GGA.

Structure (extended XYZ):
```
16
Lattice="6.5735 0.0000 0.0000 0.0000 6.5735 0.0000 0.0000 0.0000 6.5735" Properties=species:S:1:pos:R:3 pbc="T T T"
Li 0.0000 0.0000 0.0000
Li 0.0000 3.2868 3.2868
Li 3.2868 0.0000 3.2868
Li 3.2868 3.2868 0.0000
Sn 1.6434 1.6434 1.6434
Sn 1.6434 1.6434 4.9301
Sn 1.6434 4.9301 1.6434
Sn 1.6434 4.9301 4.9301
Sn 4.9301 1.6434 1.6434
Sn 4.9301 1.6434 4.9301
Sn 4.9301 4.9301 1.6434
Sn 4.9301 4.9301 4.9301
H 0.0000 0.0000 3.2868
H 0.0000 3.2868 0.0000
H 3.2868 0.0000 0.0000
H 3.2868 3.2868 3.2868
```

density of states at the Fermi level: 0.82 states/eV/f.u.
M_tot: 0.0000 μB per atom

Entry ii
This record from the Alexandria database describes a relaxed structure of LiSn2H. The functional is PBE-GGA.

Structure (extended XYZ):
```
16
Lattice="5.3994 0.0000 0.0000 0.0000 5.3994 0.0000 0.0000 0.0000 12.3927" Properties=species:S:1:pos:R:3 pbc="T T T"
Li 0.0000 0.0000 0.0000
Li 0.0000 2.6997 3.0982
Li 2.6997 0.0000 9.2945
Li 2.6997 2.6997 6.1963
Sn 0.6877 1.3498 7.7454
Sn 1.3498 3.3874 10.8436
Sn 1.3498 4.7117 4.6473
Sn 2.0120 1.3498 1.5491
Sn 3.3874 4.0495 1.5491
Sn 4.0495 0.6877 4.6473
Sn 4.0495 2.0120 10.8436
Sn 4.7117 4.0495 7.7454
H 0.0000 0.0000 6.1963
H 0.0000 2.6997 9.2945
H 2.6997 0.0000 3.0982
H 2.6997 2.6997 0.0000
```

density of states at the Fermi level: 0.75 states/eV/f.u.
M_tot: 0.0000 μB per atom

What should be chosen as the most stable of them? Choose entry ii.

Entry i
This record from the Alexandria database describes a relaxed structure of Li2SnH. The functional is PBE-GGA.

Structure (extended XYZ):
```
16
Lattice="6.3832 0.0000 0.0000 0.0000 6.3832 0.0000 0.0000 0.0000 6.3832" Properties=species:S:1:pos:R:3 pbc="T T T"
Li 1.5958 1.5958 1.5958
Li 1.5958 1.5958 4.7874
Li 1.5958 4.7874 1.5958
Li 1.5958 4.7874 4.7874
Li 4.7874 1.5958 1.5958
Li 4.7874 1.5958 4.7874
Li 4.7874 4.7874 1.5958
Li 4.7874 4.7874 4.7874
Sn 0.0000 0.0000 0.0000
Sn 0.0000 3.1916 3.1916
Sn 3.1916 0.0000 3.1916
Sn 3.1916 3.1916 0.0000
H 0.0000 0.0000 3.1916
H 0.0000 3.1916 0.0000
H 3.1916 0.0000 0.0000
H 3.1916 3.1916 3.1916
```

density of states at the Fermi level: 1.90 states/eV/f.u.
M_tot: 0.0000 μB per atom

Entry ii
This record from the Alexandria database describes a relaxed structure of Li2SnH. The functional is PBE-GGA.

Structure (extended XYZ):
```
12
Lattice="3.1736 0.0000 0.0000 -1.5868 2.7484 0.0000 0.0000 0.0000 21.1146" Properties=species:S:1:pos:R:3 pbc="T T T"
Li 0.0000 0.0000 4.6225
Li 0.0000 0.0000 16.4921
Li 0.0000 1.8323 9.4539
Li 0.0000 1.8323 18.6989
Li 1.5868 0.9161 2.4157
Li 1.5868 0.9161 11.6607
Sn 0.0000 0.0000 0.0000
Sn 0.0000 1.8323 14.0764
Sn 1.5868 0.9161 7.0382
H 0.0000 0.0000 10.5573
H 0.0000 1.8323 3.5191
H 1.5868 0.9161 17.5955
```

density of states at the Fermi level: 1.66 states/eV/f.u.
M_tot: 0.0000 μB per atom

What should be chosen as the most stable of them? Choose entry ii.

Entry i
This record from the Alexandria database describes a relaxed structure of Li2SnH2. The functional is PBE-GGA.

Structure (extended XYZ):
```
10
Lattice="6.6475 0.0000 0.0000 0.0000 6.6475 0.0000 0.0000 0.0000 2.9215" Properties=species:S:1:pos:R:3 pbc="T T T"
Li 0.8661 2.4577 0.0000
Li 2.4577 5.7814 0.0000
Li 4.1898 0.8661 0.0000
Li 5.7814 4.1898 0.0000
Sn 0.0000 0.0000 1.4608
Sn 3.3237 3.3237 1.4608
H 0.7828 4.1065 1.4608
H 2.5410 0.7828 1.4608
H 4.1065 5.8647 1.4608
H 5.8647 2.5410 1.4608
```

density of states at the Fermi level: 0.69 states/eV/f.u.
M_tot: 0.0000 μB per atom

Entry ii
This record from the Alexandria database describes a relaxed structure of Li2SnH2. The functional is PBE-GGA.

Structure (extended XYZ):
```
10
Lattice="3.4832 0.0000 0.0000 0.0000 3.4832 0.0000 0.0000 0.0000 10.1442" Properties=species:S:1:pos:R:3 pbc="T T T"
Li 0.0000 0.0000 1.9104
Li 0.0000 0.0000 8.2339
Li 1.7416 1.7416 3.1617
Li 1.7416 1.7416 6.9825
Sn 0.0000 0.0000 5.0721
Sn 1.7416 1.7416 0.0000
H 0.0000 1.7416 2.5361
H 0.0000 1.7416 7.6082
H 1.7416 0.0000 2.5361
H 1.7416 0.0000 7.6082
```

density of states at the Fermi level: 0.99 states/eV/f.u.
M_tot: 0.0000 μB per atom

What should be chosen as the most stable of them? Choose entry ii.

Entry i
This record from the Alexandria database describes a relaxed structure of Li2ZnSnH. The functional is PBE-GGA.

Structure (extended XYZ):
```
5
Lattice="4.1112 0.0000 0.0000 0.0000 4.1112 0.0000 0.0000 0.0000 4.4652" Properties=species:S:1:pos:R:3 pbc="T T T"
Li 0.0000 2.0556 0.0000
Li 2.0556 0.0000 0.0000
Zn 0.0000 0.0000 2.2326
Sn 2.0556 2.0556 2.2326
H 2.0556 2.0556 0.0000
```

density of states at the Fermi level: 1.67 states/eV/f.u.
M_tot: 0.0000 μB per atom

Entry ii
This record from the Alexandria database describes a relaxed structure of Li2ZnSnH. The functional is PBE-GGA.

Structure (extended XYZ):
```
5
Lattice="4.4066 0.0000 0.0000 0.0000 4.4066 0.0000 0.0000 0.0000 3.6936" Properties=species:S:1:pos:R:3 pbc="T T T"
Li 0.0000 2.2033 0.0000
Li 2.2033 0.0000 0.0000
Zn 0.0000 0.0000 1.8468
Sn 2.2033 2.2033 1.8468
H 0.0000 0.0000 0.0000
```

density of states at the Fermi level: 0.60 states/eV/f.u.
M_tot: 0.0000 μB per atom

What should be chosen as the most stable of them? Choose entry ii.

Entry i
This record from the Alexandria database describes a relaxed structure of SrLiH. The functional is PBE-GGA.

Structure (extended XYZ):
```
6
Lattice="5.6725 0.0000 0.0000 0.0000 3.9482 0.0000 0.0000 0.0000 5.7171" Properties=species:S:1:pos:R:3 pbc="T T T"
Sr 1.4181 0.0000 1.3009
Sr 4.2544 0.0000 4.4163
Li 1.4181 1.9741 4.3358
Li 4.2544 1.9741 1.3813
H 0.0000 1.9741 0.0000
H 2.8363 1.9741 0.0000
```

density of states at the Fermi level: 1.44 states/eV/f.u.
M_tot: 0.0001 μB per atom

Entry ii
This record from the Alexandria database describes a relaxed structure of SrLiH. The functional is PBE-GGA.

Structure (extended XYZ):
```
3
Lattice="3.8317 0.0000 0.0000 -1.9158 3.3183 0.0000 0.0000 0.0000 5.7889" Properties=species:S:1:pos:R:3 pbc="T T T"
Sr 0.0000 0.0000 0.0000
Li 0.0000 2.2122 2.8054
H 1.9158 1.1061 1.3026
```

density of states at the Fermi level: 0.90 states/eV/f.u.
M_tot: 0.0271 μB per atom

What should be chosen as the most stable of them? Choose entry i.